# 1
# Ca3Bi2F (PBE, optimized geometry)
data_Ca3Bi2F
_cell_length_a 9.4306
_cell_length_b 4.0431
_cell_length_c 18.1230
_cell_angle_alpha 90.00
_cell_angle_beta 90.00
_cell_angle_gamma 90.00
_space_group_name_H-M_alt 'P n m a'
_space_group_IT_number 62
loop_
_space_group_symop_operation_xyz
'x,y,z'
'-x,-y,-z'
'-x+1/2,-y,z+1/2'
'x+1/2,y,-z+1/2'
'x+1/2,-y+1/2,-z+1/2'
'-x+1/2,y+1/2,z+1/2'
'-x,y+1/2,-z'
'x,-y+1/2,z'
loop_
_atom_site_label
_atom_site_fract_x
_atom_site_fract_y
_atom_site_fract_z
Ca1 0.0287 0.2500 0.1055
Ca2 0.1198 0.2500 0.5830
Ca3 0.1914 0.7500 0.2703
Bi1 0.0677 0.7500 0.7196
Bi2 0.2498 0.2500 0.9532
F1 0.1430 0.7500 0.1335
# density of states at the Fermi level: 1.05 states/eV/f.u.
# crystal system: orthorhombic
# total magnetization: 0.000 μB/f.u.

---

# 2
# CaBiF5 (PBE, optimized geometry)
data_CaBiF5
_cell_length_a 4.1860
_cell_length_b 7.2340
_cell_length_c 8.9773
_cell_angle_alpha 90.00
_cell_angle_beta 90.00
_cell_angle_gamma 90.00
_space_group_name_H-M_alt 'I m m m'
_space_group_IT_number 71
_space_group_name_Hall '-I 2 2'
loop_
_atom_site_label
_atom_site_fract_x
_atom_site_fract_y
_atom_site_fract_z
Ca1 0.0000 0.0000 0.0000
Bi1 0.0000 0.0000 0.5000
F1 0.0000 0.0000 0.2559
F2 0.0000 0.3230 0.0000
F3 0.0000 0.5000 0.5000
# density of states at the Fermi level: 0.00 states/eV/f.u.
# crystal system: orthorhombic
# total magnetization: 0.000 μB/f.u.

---

# 3
# Ca4Bi2F (PBE, optimized geometry)
data_Ca4Bi2F
_cell_length_a 4.7534
_cell_length_b 4.7534
_cell_length_c 17.7530
_cell_angle_alpha 90.00
_cell_angle_beta 90.00
_cell_angle_gamma 90.00
_space_group_name_H-M_alt 'I 4/m m m'
_space_group_IT_number 139
_space_group_name_Hall '-I 4 2'
loop_
_atom_site_label
_atom_site_fract_x
_atom_site_fract_y
_atom_site_fract_z
Ca1 0.0000 0.0000 0.1828
Ca2 0.0000 0.5000 0.0000
Bi1 0.0000 0.0000 0.3670
F1 0.0000 0.0000 0.0000
# density of states at the Fermi level: 4.24 states/eV/f.u.
# crystal system: tetragonal
# total magnetization: 0.708 μB/f.u.

---

# 4
# CaBi3F (PBE, optimized geometry)
data_CaBi3F
_cell_length_a 5.8132
_cell_length_b 5.8132
_cell_length_c 5.8132
_cell_angle_alpha 90.00
_cell_angle_beta 90.00
_cell_angle_gamma 90.00
_space_group_name_H-M_alt 'P m -3 m'
_space_group_IT_number 221
_space_group_name_Hall '-P 4 2 3'
loop_
_atom_site_label
_atom_site_fract_x
_atom_site_fract_y
_atom_site_fract_z
Ca1 0.0000 0.0000 0.0000
Bi1 0.0000 0.0000 0.5000
F1 0.5000 0.5000 0.5000
# density of states at the Fermi level: 4.73 states/eV/f.u.
# crystal system: cubic
# total magnetization: 0.000 μB/f.u.

---

# 5
# CaBiF5 (PBE, optimized geometry)
data_CaBiF5
_cell_length_a 5.0515
_cell_length_b 11.2422
_cell_length_c 7.5390
_cell_angle_alpha 90.00
_cell_angle_beta 92.16
_cell_angle_gamma 90.00
_space_group_name_H-M_alt 'P 1 21/c 1'
_space_group_IT_number 14
loop_
_space_group_symop_operation_xyz
'x,y,z'
'-x,-y,-z'
'-x,y+1/2,-z+1/2'
'x,-y+1/2,z+1/2'
loop_
_atom_site_label
_atom_site_fract_x
_atom_site_fract_y
_atom_site_fract_z
Ca1 0.0267 0.0143 0.2500
Bi1 0.4531 0.2488 0.0281
F1 0.1774 0.2298 0.2480
F2 0.1899 0.0842 0.5234
F3 0.1935 0.0833 0.9846
F4 0.3462 0.6320 0.7529
F5 0.3533 0.6247 0.2607
# density of states at the Fermi level: 0.00 states/eV/f.u.
# crystal system: monoclinic
# total magnetization: 0.000 μB/f.u.

---

# 6
# CaBi3F (PBE, optimized geometry)
data_CaBi3F
_cell_length_a 5.1536
_cell_length_b 5.1536
_cell_length_c 5.1536
_cell_angle_alpha 90.00
_cell_angle_beta 90.00
_cell_angle_gamma 90.00
_space_group_name_H-M_alt 'P m -3 m'
_space_group_IT_number 221
_space_group_name_Hall '-P 4 2 3'
loop_
_atom_site_label
_atom_site_fract_x
_atom_site_fract_y
_atom_site_fract_z
Ca1 0.0000 0.0000 0.0000
Bi1 0.0000 0.5000 0.5000
F1 0.5000 0.5000 0.5000
# density of states at the Fermi level: 2.87 states/eV/f.u.
# crystal system: cubic
# total magnetization: 0.000 μB/f.u.

---

# 7
# CaBiF5 (PBE, optimized geometry)
data_CaBiF5
_cell_length_a 7.3174
_cell_length_b 7.0762
_cell_length_c 7.8932
_cell_angle_alpha 90.00
_cell_angle_beta 93.97
_cell_angle_gamma 90.00
_space_group_name_H-M_alt 'C 1 2/c 1'
_space_group_IT_number 15
loop_
_space_group_symop_operation_xyz
'x,y,z'
'-x,-y,-z'
'-x,y,-z+1/2'
'x,-y,z+1/2'
'x+1/2,y+1/2,z'
'-x+1/2,-y+1/2,-z'
'-x+1/2,y+1/2,-z+1/2'
'x+1/2,-y+1/2,z+1/2'
loop_
_atom_site_label
_atom_site_fract_x
_atom_site_fract_y
_atom_site_fract_z
Ca1 0.0000 0.0000 0.0000
Bi1 0.0000 0.4844 0.2500
F1 0.0000 0.1573 0.7500
F2 0.1442 0.2285 0.1641
F3 0.1783 0.4303 0.5010
# density of states at the Fermi level: 0.00 states/eV/f.u.
# crystal system: monoclinic
# total magnetization: 0.000 μB/f.u.

---

# 8
# Ca2BiF (PBE, optimized geometry)
data_Ca2BiF
_cell_length_a 7.4618
_cell_length_b 7.4618
_cell_length_c 7.4618
_cell_angle_alpha 90.00
_cell_angle_beta 90.00
_cell_angle_gamma 90.00
_space_group_name_H-M_alt 'F m -3 m'
_space_group_IT_number 225
_space_group_name_Hall '-F 4 2 3'
loop_
_atom_site_label
_atom_site_fract_x
_atom_site_fract_y
_atom_site_fract_z
Ca1 0.2500 0.2500 0.2500
Bi1 0.0000 0.0000 0.0000
F1 0.0000 0.0000 0.5000
# density of states at the Fermi level: 0.00 states/eV/f.u.
# crystal system: cubic
# total magnetization: 0.000 μB/f.u.

---

Number 1: total energy -4.186 eV/atom. Number 2: total energy -5.130 eV/atom. Number 3: total energy -3.900 eV/atom. Number 4: total energy -2.811 eV/atom. Number 5: total energy -5.244 eV/atom. Number 6: total energy -3.803 eV/atom. Number 7: total energy -5.202 eV/atom. Number 8: total energy -4.008 eV/atom.